A relaxed structure of LaSmDyTl, computed with PBE-GGA.

## Properties
VASP energy in eV for the cell shown: -16.704
Total moment in Bohr magnetons per cell: 0.0
ΔE_f in eV per atom: -0.022

abc: 5.537 5.537 5.537
angles: 60.00 60.00 60.00
Fractional positions:
1 La 0.000 0.000 0.000
2 Sm 0.250 0.250 0.250
3 Dy 0.750 0.750 0.750
4 Tl 0.500 0.500 0.500